Below is a geometry-optimized CsSn2PbCl8 structure, with properties calculated at the GGA-PBE level.

The space group is P-1 (No. 2) and the conventional cell measures 6.778, 7.003 and 9.382 Å, with angles of 83.63, 83.75 and 85.71 degrees. The distinct sites, in fractional coordinates, are Cs at (0.000, 0.000, 0.000), Sn at (0.471, 0.482, 0.254), Pb at (0.000, 0.000, 0.500), Cl at (0.241, 0.803, 0.708), Cl at (0.256, 0.325, 0.472), Cl at (0.261, 0.823, 0.285) and Cl at (0.288, 0.374, 0.058).

The value obtained for the density is 3.257 g cm⁻³. The formation energy from raw total energies comes out at -13.5 eV/f.u. As for the density of states at the Fermi level: 0.521 states/eV/atom.